(1)
! PBE Ce2HgP, optimized geometry; values from VASP
&SYSTEM
  ibrav = 0, nat = 4, ntyp = 3
/
ATOMIC_SPECIES
Ce 140.12 Ce.upf
Hg 200.59 Hg.upf
P 30.97 P.upf
CELL_PARAMETERS angstrom
2.007 1.159 7.930
-2.007 1.159 7.930
0.000 -2.317 7.930
ATOMIC_POSITIONS crystal
Ce 0.236 0.236 0.236
Ce 0.764 0.764 0.764
Hg 0.000 0.000 0.000
P 0.500 0.500 0.500
! Final energy, eV per atom: -5.201
! Energy of formation from the pure elements, eV/f.u.: -3.23
! Symmetry: R-3m, No. 166
! Offset from the most stable computed form, eV/atom: 0.0051
! DOS at the Fermi energy, states/eV/atom: 2.83
! Crystal system: trigonal

***

(2)
! PBE TiTlCoAs2, optimized geometry; values from VASP
&SYSTEM
  ibrav = 0, nat = 5, ntyp = 4
/
ATOMIC_SPECIES
Ti 47.87 Ti.upf
Tl 204.38 Tl.upf
Co 58.93 Co.upf
As 74.92 As.upf
CELL_PARAMETERS angstrom
5.170 0.000 0.000
0.000 5.170 0.000
0.000 0.000 4.652
ATOMIC_POSITIONS crystal
Ti 0.000 0.000 0.000
Tl 0.500 0.500 0.500
Co 0.500 0.500 0.000
As 0.000 0.500 0.500
As 0.500 0.000 0.500
! Final energy, eV per atom: -3.868
! Energy of formation from the pure elements, eV/f.u.: 7.33
! Symmetry: P4/mmm, No. 123
! DOS at the Fermi energy, states/eV/atom: 1.48
! Crystal system: tetragonal

***

(3)
! PBE Hf5TiP3, optimized geometry; values from VASP
&SYSTEM
  ibrav = 0, nat = 18, ntyp = 3
/
ATOMIC_SPECIES
Hf 178.49 Hf.upf
Ti 47.87 Ti.upf
P 30.97 P.upf
CELL_PARAMETERS angstrom
5.490 -4.185 0.000
5.490 4.185 0.000
-3.595 0.000 8.125
ATOMIC_POSITIONS crystal
Hf 0.040 0.040 0.345
Hf 0.135 0.551 0.319
Hf 0.203 0.797 0.000
Hf 0.258 0.258 0.955
Hf 0.449 0.865 0.681
Hf 0.551 0.135 0.319
Hf 0.742 0.742 0.045
Hf 0.797 0.203 0.000
Hf 0.865 0.449 0.681
Hf 0.960 0.960 0.655
Ti 0.417 0.417 0.710
Ti 0.583 0.583 0.290
P 0.170 0.170 0.174
P 0.187 0.187 0.646
P 0.500 0.500 0.000
P 0.500 0.500 0.500
P 0.813 0.813 0.354
P 0.830 0.830 0.826
! Final energy, eV per atom: -8.864
! Energy of formation from the pure elements, eV/f.u.: -5.89
! Symmetry: C2/m, No. 12
! DOS at the Fermi energy, states/eV/atom: 0.70
! Crystal system: monoclinic

***

(4)
! PBE NdSmIN, optimized geometry; values from VASP
&SYSTEM
  ibrav = 0, nat = 4, ntyp = 4
/
ATOMIC_SPECIES
Nd 144.24 Nd.upf
Sm 150.36 Sm.upf
I 126.90 I.upf
N 14.01 N.upf
CELL_PARAMETERS angstrom
1.892 1.092 7.603
-1.892 1.092 7.603
0.000 -2.184 7.603
ATOMIC_POSITIONS crystal
Nd 0.000 0.000 0.000
Sm 0.781 0.781 0.781
I 0.223 0.223 0.223
N 0.396 0.396 0.396
! Final energy, eV per atom: -6.040
! Symmetry: R3m, No. 160
! Formation energy from raw total energies, kJ per mole of atoms: -115.74
! DOS at the Fermi energy, states/eV/atom: 0.28
! Crystal system: trigonal

***

(5)
! PBE Tl2ZnSb, optimized geometry; values from VASP
&SYSTEM
  ibrav = 0, nat = 4, ntyp = 3
/
ATOMIC_SPECIES
Tl 204.38 Tl.upf
Zn 65.41 Zn.upf
Sb 121.76 Sb.upf
CELL_PARAMETERS angstrom
3.914 -2.255 0.000
3.914 2.255 0.000
-2.580 0.000 6.911
ATOMIC_POSITIONS crystal
Tl 0.000 0.000 0.000
Tl 0.218 0.218 0.656
Zn 0.800 0.800 0.405
Sb 0.430 0.430 0.292
! Final energy, eV per atom: -2.509
! Symmetry: Cm, No. 8
! Formation energy from raw total energies, kJ per mole of atoms: 2.26
! Offset from the most stable computed form, eV/atom: 0.0000
! DOS at the Fermi energy, states/eV/atom: 0.30
! Crystal system: monoclinic

***

(6)
! PBE Sr2Ge2Au, optimized geometry; values from VASP
&SYSTEM
  ibrav = 0, nat = 10, ntyp = 3
/
ATOMIC_SPECIES
Sr 87.62 Sr.upf
Ge 72.64 Ge.upf
Au 196.97 Au.upf
CELL_PARAMETERS angstrom
7.365 0.000 0.000
0.000 7.365 0.000
0.000 0.000 4.806
ATOMIC_POSITIONS crystal
Sr 0.170 0.330 0.000
Sr 0.330 0.830 0.000
Sr 0.670 0.170 0.000
Sr 0.830 0.670 0.000
Ge 0.132 0.632 0.500
Ge 0.368 0.132 0.500
Ge 0.632 0.868 0.500
Ge 0.868 0.368 0.500
Au 0.000 0.000 0.500
Au 0.500 0.500 0.500
! Final energy, eV per atom: -3.691
! Energy of formation from the pure elements, eV/f.u.: -2.58
! Symmetry: P4/mbm, No. 127
! Offset from the most stable computed form, eV/atom: 0.1478
! DOS at the Fermi energy, states/eV/atom: 0.59
! Crystal system: tetragonal

***

(7)
! PBE PmSiF, optimized geometry; values from VASP
&SYSTEM
  ibrav = 0, nat = 6, ntyp = 3
/
ATOMIC_SPECIES
Pm 145.00 Pm.upf
Si 28.09 Si.upf
F 19.00 F.upf
CELL_PARAMETERS angstrom
2.007 -6.941 0.000
2.007 6.941 0.000
0.000 0.000 3.870
ATOMIC_POSITIONS crystal
Pm 0.136 0.864 0.750
Pm 0.864 0.136 0.250
Si 0.452 0.548 0.750
Si 0.548 0.452 0.250
F 0.255 0.745 0.250
F 0.745 0.255 0.750
! Final energy, eV per atom: -6.182
! Symmetry: Cmcm, No. 63
! Formation energy from raw total energies, kJ per mole of atoms: -209.09
! Offset from the most stable computed form, eV/atom: 0.0000
! DOS at the Fermi energy, states/eV/atom: 0.17
! Crystal system: orthorhombic

***

(8)
! PBE BiPPd, optimized geometry; values from VASP
&SYSTEM
  ibrav = 0, nat = 6, ntyp = 3
/
ATOMIC_SPECIES
Bi 208.98 Bi.upf
P 30.97 P.upf
Pd 106.42 Pd.upf
CELL_PARAMETERS angstrom
5.326 0.000 0.000
0.000 3.361 0.000
-0.630 0.000 6.726
ATOMIC_POSITIONS crystal
Bi 0.235 0.250 0.406
Bi 0.765 0.750 0.594
P 0.130 0.750 0.940
P 0.870 0.250 0.060
Pd 0.473 0.250 0.830
Pd 0.527 0.750 0.170
! Final energy, eV per atom: -4.961
! Energy of formation from the pure elements, eV/f.u.: -0.40
! Symmetry: P2_1/m, No. 11
! Offset from the most stable computed form, eV/atom: 0.0230
! DOS at the Fermi energy, states/eV/atom: 0.28
! Crystal system: monoclinic

***

Q: Among the records above, which one has the lowest DOS at the Fermi energy?
A: PmSiF

***

Q: Which of these has the lowest final energy?
A: Hf5TiP3